Density functional theory data (SCAN) for MnZnAu2 at its PBEsol-relaxed geometry.

Properties
M_tot   4.20 Bohr magnetons per cell
Formation enthalpy at 0 K   -320 meV per atom

```
MnZnAu2
1.0
3.318 0.000 0.000
0.000 3.318 0.000
0.000 0.000 5.638
Mn Zn Au
1 1 2
direct
0.000 0.000 0.000
0.500 0.500 0.259
0.000 0.000 0.483
0.500 0.500 0.780
```